Record 1
# PmTm4

Crystalline PmTm4 at its relaxed geometry (GGA-PBE, the Alexandria database).

* E_form: 3.66 eV/f.u.
* energy above the lowest structure with this stoichiometry: 733.8 meV/atom
* SG: No. 221

Structure (POSCAR):
```
PmTm4
1.0
5.553 0.000 0.000
0.000 5.553 0.000
0.000 0.000 5.553
Pm Tm
1 4
direct
0.000 0.000 0.000
0.000 0.000 0.500
0.000 0.500 0.000
0.500 0.000 0.000
0.500 0.500 0.500
```

Record 2
# Pm3Tm8

Crystalline Pm3Tm8 at its relaxed geometry (GGA-PBE, the Alexandria database).

* E_form: 0.28 eV/f.u.
* energy above the lowest structure with this stoichiometry: 0.0 meV/atom
* SG: No. 12

Structure (POSCAR):
```
Pm3Tm8
1.0
7.692 -1.767 0.000
7.692 1.767 0.000
-7.282 0.000 12.598
Pm Tm
3 8
direct
0.000 0.000 0.000
0.091 0.091 0.637
0.909 0.909 0.363
0.180 0.180 0.272
0.272 0.272 0.909
0.362 0.362 0.546
0.454 0.454 0.181
0.546 0.546 0.819
0.638 0.638 0.454
0.728 0.728 0.091
0.820 0.820 0.728
```

Record 3
# Pm3Tm4

Crystalline Pm3Tm4 at its relaxed geometry (GGA-PBE, the Alexandria database).

* E_form: 0.16 eV/f.u.
* SG: No. 12

Structure (POSCAR):
```
Pm3Tm4
1.0
11.256 0.000 0.000
0.000 5.027 0.000
-1.146 0.000 7.873
Pm Tm
6 8
direct
0.000 0.000 0.000
0.213 0.500 0.146
0.287 0.000 0.854
0.500 0.500 0.000
0.713 0.000 0.146
0.787 0.500 0.854
0.073 0.500 0.709
0.142 0.000 0.430
0.358 0.500 0.570
0.427 0.000 0.291
0.573 0.000 0.709
0.642 0.500 0.430
0.858 0.000 0.570
0.927 0.500 0.291
```

Record 4
# PmTm5

Crystalline PmTm5 at its relaxed geometry (GGA-PBE, the Alexandria database).

* E_form: 0.16 eV/f.u.
* energy above the lowest structure with this stoichiometry: 0.0 meV/atom
* SG: No. 12

Structure (POSCAR):
```
PmTm5
1.0
11.108 0.000 0.000
0.000 4.962 0.000
-2.216 0.000 6.672
Pm Tm
2 10
direct
0.000 0.000 0.000
0.500 0.500 0.000
0.000 0.000 0.500
0.166 0.500 0.832
0.168 0.500 0.335
0.332 0.000 0.665
0.334 0.000 0.168
0.500 0.500 0.500
0.666 0.000 0.832
0.668 0.000 0.335
0.832 0.500 0.665
0.834 0.500 0.168
```

Record 5
# Pm4Tm5

Crystalline Pm4Tm5 at its relaxed geometry (GGA-PBE, the Alexandria database).

* E_form: 0.55 eV/f.u.
* energy above the lowest structure with this stoichiometry: 28.7 meV/atom
* SG: No. 193

Structure (POSCAR):
```
Pm4Tm5
1.0
9.730 0.000 0.000
-4.865 8.427 0.000
0.000 0.000 7.009
Pm Tm
8 10
direct
0.000 0.000 0.000
0.000 0.000 0.500
0.000 0.355 0.250
0.000 0.645 0.750
0.355 0.000 0.250
0.355 0.355 0.750
0.645 0.000 0.750
0.645 0.645 0.250
0.000 0.317 0.750
0.000 0.683 0.250
0.317 0.000 0.750
0.317 0.317 0.250
0.333 0.667 0.000
0.333 0.667 0.500
0.667 0.333 0.000
0.667 0.333 0.500
0.683 0.000 0.250
0.683 0.683 0.750
```

Record 6
# Pm3Tm2

Crystalline Pm3Tm2 at its relaxed geometry (GGA-PBE, the Alexandria database).

* E_form: 0.77 eV/f.u.
* SG: No. 72

Structure (POSCAR):
```
Pm3Tm2
1.0
-3.256 8.124 3.106
3.256 -8.124 3.106
3.256 8.124 -3.106
Pm Tm
6 4
direct
0.098 0.606 0.704
0.250 0.250 0.000
0.402 0.106 0.508
0.598 0.894 0.492
0.750 0.750 0.000
0.902 0.394 0.296
0.194 0.134 0.328
0.306 0.634 0.941
0.694 0.366 0.059
0.806 0.866 0.672
```

Record 7
# PmTm6

Crystalline PmTm6 at its relaxed geometry (GGA-PBE, the Alexandria database).

* E_form: 10.54 eV/f.u.
* energy above the lowest structure with this stoichiometry: 1237.4 meV/atom
* SG: No. 229

Structure (POSCAR):
```
PmTm6
1.0
8.077 0.000 0.000
0.000 8.077 0.000
0.000 0.000 8.077
Pm Tm
2 12
direct
0.000 0.000 0.000
0.500 0.500 0.500
0.000 0.250 0.500
0.000 0.500 0.250
0.000 0.500 0.750
0.000 0.750 0.500
0.250 0.000 0.500
0.250 0.500 0.000
0.500 0.000 0.250
0.500 0.000 0.750
0.500 0.250 0.000
0.500 0.750 0.000
0.750 0.000 0.500
0.750 0.500 0.000
```

Record 8
# PmTm5

Crystalline PmTm5 at its relaxed geometry (GGA-PBE, the Alexandria database).

* E_form: 0.16 eV/f.u.
* energy above the lowest structure with this stoichiometry: 0.5 meV/atom
* SG: No. 65

Structure (POSCAR):
```
PmTm5
1.0
4.969 0.000 0.000
0.000 14.902 0.000
0.000 0.000 4.974
Pm Tm
2 10
direct
0.000 0.000 0.000
0.500 0.500 0.000
0.000 0.167 0.500
0.000 0.332 0.000
0.000 0.500 0.500
0.000 0.668 0.000
0.000 0.833 0.500
0.500 0.000 0.500
0.500 0.168 0.000
0.500 0.333 0.500
0.500 0.667 0.500
0.500 0.832 0.000
```

Record 9
# PmTm

Crystalline PmTm at its relaxed geometry (GGA-PBE, the Alexandria database).

* E_form: 0.20 eV/f.u.
* energy above the lowest structure with this stoichiometry: 83.4 meV/atom
* SG: No. 221

Structure (POSCAR):
```
PmTm
1.0
4.024 0.000 0.000
0.000 4.024 0.000
0.000 0.000 4.024
Pm Tm
1 1
direct
0.000 0.000 0.000
0.500 0.500 0.500
```

Record 10
# Pm7Tm2

Crystalline Pm7Tm2 at its relaxed geometry (GGA-PBE, the Alexandria database).

* E_form: 0.16 eV/f.u.
* SG: No. 162

Structure (POSCAR):
```
Pm7Tm2
1.0
6.261 0.000 0.000
-3.131 5.422 0.000
0.000 0.000 8.843
Pm Tm
7 2
direct
0.000 0.000 0.000
0.000 0.334 0.670
0.000 0.666 0.330
0.334 0.000 0.670
0.334 0.334 0.330
0.666 0.000 0.330
0.666 0.666 0.670
0.333 0.667 0.000
0.667 0.333 0.000
```

Record 11
# Pm2Tm3

Crystalline Pm2Tm3 at its relaxed geometry (GGA-PBE, the Alexandria database).

* E_form: 0.63 eV/f.u.
* SG: No. 72

Structure (POSCAR):
```
Pm2Tm3
1.0
-3.334 7.914 3.066
3.334 -7.914 3.066
3.334 7.914 -3.066
Pm Tm
4 6
direct
0.191 0.152 0.343
0.309 0.652 0.960
0.691 0.348 0.040
0.809 0.848 0.657
0.090 0.619 0.709
0.250 0.250 0.000
0.410 0.119 0.529
0.590 0.881 0.471
0.750 0.750 0.000
0.910 0.381 0.291
```

Record 12
# Pm4Tm3

Crystalline Pm4Tm3 at its relaxed geometry (GGA-PBE, the Alexandria database).

* E_form: 0.77 eV/f.u.
* energy above the lowest structure with this stoichiometry: 0.0 meV/atom
* SG: No. 12

Structure (POSCAR):
```
Pm4Tm3
1.0
9.534 0.000 0.000
0.000 5.881 0.000
-3.979 0.000 8.156
Pm Tm
8 6
direct
0.138 0.000 0.417
0.214 0.500 0.139
0.286 0.000 0.861
0.362 0.500 0.583
0.638 0.500 0.417
0.714 0.000 0.139
0.786 0.500 0.861
0.862 0.000 0.583
0.000 0.000 0.000
0.066 0.500 0.710
0.434 0.000 0.290
0.500 0.500 0.000
0.566 0.000 0.710
0.934 0.500 0.290
```